(1)
Density functional theory data (PBE) for crystalline Tm2SiSnOs at its relaxed geometry.

a = 10.782 Å, b = 4.270 Å, c = 10.439 Å
α = 90.00°, β = 118.24°, γ = 90.00°
Space group C2/m (No. 12)
Symmetry-distinct sites (fractional):
1 Tm 0.005 0.000 0.161 (multiplicity 4)
2 Tm 0.188 0.000 0.633 (multiplicity 4)
3 Si 0.144 0.500 0.057 (multiplicity 4)
4 Sn 0.027 0.500 0.375 (multiplicity 4)
5 Os 0.237 0.500 0.880 (multiplicity 4)

Results
Its energy is -6.64 eV per atom. The total magnetic moment comes out at 0.0 μB/f.u.

(2)
Density functional theory data (PBE) for crystalline CsErZnTeSe2 at its relaxed geometry.

a = 4.230 Å, b = 16.911 Å, c = 11.366 Å
α = 90.00°, β = 90.00°, γ = 90.00°
Space group Cmcm (No. 63)
Symmetry-distinct sites (fractional):
1 Cs 0.000 0.235 0.250 (multiplicity 4)
2 Er 0.000 0.000 0.000 (multiplicity 4)
3 Zn 0.000 0.472 0.750 (multiplicity 4)
4 Te 0.000 0.073 0.750 (multiplicity 4)
5 Se 0.000 0.394 0.566 (multiplicity 8)

Results
Its energy is -4.11 eV per atom. The total magnetic moment comes out at 0.0 μB/f.u.

(3)
Density functional theory data (PBE) for crystalline BiB4Au at its relaxed geometry.

a = 3.1093 Å, b = 3.1093 Å, c = 8.8259 Å
α = 90.00°, β = 90.00°, γ = 120.00°
Space group P6/mmm (No. 191)
Symmetry-distinct sites (fractional):
1 Bi 0.0000 0.0000 0.0000 (multiplicity 1)
2 B 0.3333 0.6667 0.2749 (multiplicity 4)
3 Au 0.0000 0.0000 0.5000 (multiplicity 1)

Results
The energy above the most stable polymorph in this dataset comes out at 0.028 eV/atom.

(4)
Density functional theory data (PBE) for crystalline BeInGaPt at its relaxed geometry.

a = 6.416 Å, b = 6.416 Å, c = 6.416 Å
α = 90.00°, β = 90.00°, γ = 90.00°
Space group F-43m (No. 216)
Symmetry-distinct sites (fractional):
1 Be 0.000 0.000 0.000 (multiplicity 4)
2 In 0.000 0.000 0.500 (multiplicity 4)
3 Ga 0.250 0.250 0.750 (multiplicity 4)
4 Pt 0.250 0.250 0.250 (multiplicity 4)

Results
The total magnetic moment comes out at 0.0 μB/f.u. The energy above the most stable polymorph in this dataset comes out at 0.017 eV/atom.

(5)
Density functional theory data (PBE) for crystalline RbBaFe at its relaxed geometry.

a = 8.174 Å, b = 8.174 Å, c = 8.174 Å
α = 90.00°, β = 90.00°, γ = 90.00°
Space group F-43m (No. 216)
Symmetry-distinct sites (fractional):
1 Rb 0.000 0.000 0.000 (multiplicity 4)
2 Ba 0.000 0.000 0.500 (multiplicity 4)
3 Fe 0.250 0.250 0.750 (multiplicity 4)

Results
The total magnetic moment comes out at 2.9 μB/f.u. The energy above the most stable polymorph in this dataset comes out at 0.000 eV/atom.

(6)
Density functional theory data (PBE) for crystalline NaAgWS3 at its relaxed geometry.

a = 3.461 Å, b = 13.717 Å, c = 9.827 Å
α = 90.00°, β = 90.00°, γ = 90.00°
Space group Cmcm (No. 63)
Symmetry-distinct sites (fractional):
1 Na 0.000 0.232 0.250 (multiplicity 4)
2 Ag 0.000 0.077 0.750 (multiplicity 4)
3 W 0.000 0.500 0.000 (multiplicity 4)
4 S 0.000 0.129 0.518 (multiplicity 8)
5 S 0.000 0.434 0.750 (multiplicity 4)

Results
Its energy is -5.22 eV per atom. The total magnetic moment comes out at 1.3 μB/f.u.

(7)
Density functional theory data (PBE) for crystalline LaInAg at its relaxed geometry.

a = 7.025 Å, b = 7.025 Å, c = 7.025 Å
α = 90.00°, β = 90.00°, γ = 90.00°
Space group F-43m (No. 216)
Symmetry-distinct sites (fractional):
1 La 0.000 0.000 0.000 (multiplicity 4)
2 In 0.000 0.000 0.500 (multiplicity 4)
3 Ag 0.250 0.250 0.750 (multiplicity 4)

Results
Its energy is -3.83 eV per atom. The total magnetic moment comes out at 0.0 μB/f.u.

(8)
Density functional theory data (PBE) for crystalline CsMgTa at its relaxed geometry.

a = 7.746 Å, b = 7.746 Å, c = 7.746 Å
α = 90.00°, β = 90.00°, γ = 90.00°
Space group F-43m (No. 216)
Symmetry-distinct sites (fractional):
1 Cs 0.000 0.000 0.000 (multiplicity 4)
2 Mg 0.000 0.000 0.500 (multiplicity 4)
3 Ta 0.250 0.250 0.250 (multiplicity 4)

Results
The total magnetic moment comes out at 4.0 μB/f.u. The energy above the most stable polymorph in this dataset comes out at 0.000 eV/atom.